1.
Below is an optimized crystal structure of ZrTaAu2, with properties calculated at the PBE level.

```
4
Lattice="4.8397 -1.5388 0.0000 4.8397 1.5388 0.0000 -1.0836 0.0000 5.1027" Properties=species:S:1:pos:R:3 pbc="T T T"
Zr 0.0000 0.0000 0.0000
Ta 6.8836 0.0000 1.5007
Au 1.5336 0.0000 3.9653
Au 4.2253 0.0000 2.5282
```

Values from the calculation:
ΔE_f = -17.3 kJ per mole of atoms
SG = No. 8

=====

2.
Below is an optimized crystal structure of ZrTa2Au, with properties calculated at the PBE level.

```
4
Lattice="2.9169 -4.4974 0.0000 2.9169 4.4974 0.0000 0.0000 0.0000 2.9175" Properties=species:S:1:pos:R:3 pbc="T T T"
Zr 0.0000 0.0000 0.0000
Ta 1.4585 2.2487 1.4588
Ta 1.4585 -2.2487 1.4588
Au 2.9169 0.0000 0.0000
```

Values from the calculation:
Energy relative to the lowest polymorph listed for this composition = 0.258 eV per atom
ΔE_f = 12.4 kJ per mole of atoms
SG = No. 65

=====

3.
Below is an optimized crystal structure of ZrTa2Au, with properties calculated at the PBE level.

```
4
Lattice="5.0336 -1.4967 0.0000 5.0336 1.4967 0.0000 -1.0309 0.0000 5.1327" Properties=species:S:1:pos:R:3 pbc="T T T"
Zr 0.0000 0.0000 0.0000
Ta 4.7327 0.0000 2.6140
Ta 7.4995 0.0000 1.6943
Au 1.6967 0.0000 4.1536
```

Values from the calculation:
Energy relative to the lowest polymorph listed for this composition = 0.175 eV per atom
ΔE_f = 4.4 kJ per mole of atoms
SG = No. 8

=====

4.
Below is an optimized crystal structure of Tb2Au3, with properties calculated at the PBE level.

```
5
Lattice="-1.8556 1.8556 8.1467 1.8556 -1.8556 8.1467 1.8556 1.8556 -8.1467" Properties=species:S:1:pos:R:3 pbc="T T T"
Tb 0.0000 0.0000 1.7959
Tb 0.0000 0.0000 14.4976
Au 0.0000 0.0000 4.8716
Au 0.0000 0.0000 8.1467
Au 0.0000 0.0000 11.4218
```

Values from the calculation:
Energy relative to the lowest polymorph listed for this composition = 0.000 eV per atom
ΔE_f = -81.7 kJ per mole of atoms
SG = No. 139

=====

5.
Below is an optimized crystal structure of Tb3Au5, with properties calculated at the PBE level.

```
8
Lattice="7.4697 0.0000 0.0000 -3.7348 6.4689 0.0000 0.0000 0.0000 3.7663" Properties=species:S:1:pos:R:3 pbc="T T T"
Tb -1.4166 2.4536 0.0000
Tb 2.8332 0.0000 0.0000
Tb 2.3182 4.0153 0.0000
Au -2.8660 4.9640 1.8831
Au 0.8689 1.5049 1.8831
Au 0.0000 4.3126 1.8831
Au 3.7348 2.1563 1.8831
Au 5.7319 0.0000 1.8831
```

Values from the calculation:
ΔE_f = -78.4 kJ per mole of atoms
SG = No. 189

=====

6.
Below is an optimized crystal structure of TbAu, with properties calculated at the PBE level.

```
2
Lattice="3.6144 0.0000 0.0000 0.0000 3.6144 0.0000 0.0000 0.0000 3.6144" Properties=species:S:1:pos:R:3 pbc="T T T"
Tb 0.0000 0.0000 0.0000
Au 1.8072 1.8072 1.8072
```

Values from the calculation:
ΔE_f = -81.9 kJ per mole of atoms
SG = No. 221

=====

7.
Below is an optimized crystal structure of Tb2Au3, with properties calculated at the PBE level.

```
20
Lattice="-5.0171 5.0171 5.0171 5.0171 -5.0171 5.0171 5.0171 5.0171 -5.0171" Properties=species:S:1:pos:R:3 pbc="T T T"
Tb 4.6289 0.3882 -0.3882
Tb 7.1374 -2.1203 2.1203
Tb 0.3882 0.3882 0.3882
Tb 0.3882 -0.3882 4.6289
Tb -0.3882 4.6289 0.3882
Tb 2.1203 7.1374 -2.1203
Tb 2.8967 2.8967 2.8967
Tb -2.1203 2.1203 7.1374
Au 5.0171 2.5085 -2.3649
Au 2.5085 2.3649 0.0000
Au 2.3649 0.0000 2.5085
Au 5.1607 0.0000 2.5085
Au 2.5085 -2.3649 5.0171
Au 0.0000 2.5085 2.3649
Au 2.5085 5.1607 0.0000
Au 5.0171 2.5085 4.8734
Au -2.3649 5.0171 2.5085
Au 4.8734 5.0171 2.5085
Au 0.0000 2.5085 5.1607
Au 2.5085 4.8734 5.0171
```

Values from the calculation:
Energy relative to the lowest polymorph listed for this composition = 0.198 eV per atom
ΔE_f = -62.7 kJ per mole of atoms
SG = No. 220

=====

8.
Below is an optimized crystal structure of Tb14Au51, with properties calculated at the PBE level.

```
65
Lattice="12.8495 0.0000 0.0000 -6.4248 11.1280 0.0000 0.0000 0.0000 9.2581" Properties=species:S:1:pos:R:3 pbc="T T T"
Tb 0.0000 0.0000 1.8442
Tb 0.0000 0.0000 7.4139
Tb -1.0400 4.2984 4.6291
Tb -2.5204 7.5457 0.0000
Tb -2.1822 9.8794 4.6291
Tb 1.1502 5.1725 0.0000
Tb 3.2952 3.1974 4.6291
Tb 5.0090 1.5772 0.0000
Tb 1.3702 9.5379 0.0000
Tb 3.2222 8.0782 4.6291
Tb 5.2861 6.0015 0.0000
Tb 8.4329 1.2550 4.6291
Tb 8.9792 3.5494 0.0000
Tb 7.5462 6.6756 4.6291
Au -0.7743 2.5797 0.0000
Au -4.1397 8.9951 2.4554
Au -4.1397 8.9951 6.8027
Au -1.5398 4.9038 1.4864
Au -1.5398 4.9038 7.7718
Au -2.4816 6.8874 3.2305
Au -2.4816 6.8874 6.0276
Au 1.0026 1.2892 4.6291
Au -3.8035 10.5088 0.0000
Au 0.7047 3.0454 2.4554
Au 0.7047 3.0454 6.8027
Au 1.9261 2.0285 0.0000
Au 2.9031 0.8350 2.5412
Au 2.9031 0.8350 6.7169
Au 0.0000 7.4187 1.7081
Au 0.0000 7.4187 4.6291
Au 0.0000 7.4187 7.5501
Au -1.4081 10.0096 1.4864
Au -1.4081 10.0096 7.7718
Au 1.7009 5.5352 3.2305
Au 1.7009 5.5352 6.0276
Au 3.5095 3.8477 1.4925
Au 3.5095 3.8477 7.7656
Au 5.5524 1.3163 3.2204
Au 5.5524 1.3163 6.0378
Au 0.7807 9.8334 3.2305
Au 0.7807 9.8334 6.0276
Au 2.9478 7.3427 1.4864
Au 2.9478 7.3427 7.7718
Au 4.7885 5.6613 3.2204
Au 4.7885 5.6613 6.0378
Au 7.7626 1.1154 1.4925
Au 7.7626 1.1154 7.7656
Au 6.4248 3.7093 1.6876
Au 6.4248 3.7093 4.6291
Au 6.4248 3.7093 7.5705
Au 3.4351 10.2156 2.4554
Au 3.4351 10.2156 6.8027
Au 4.5778 9.1676 0.0000
Au 5.6963 8.1964 2.5412
Au 5.6963 8.1964 6.7169
Au 10.1297 0.6538 0.0000
Au 8.9334 4.1504 3.2204
Au 8.9334 4.1504 6.0378
Au 11.2317 0.2237 4.6291
Au 8.0022 6.1649 1.4925
Au 8.0022 6.1649 7.7656
Au 10.6749 2.0967 2.5412
Au 10.6749 2.0967 6.7169
Au 7.2185 8.4457 0.0000
Au 7.0399 9.6151 4.6291
```

Values from the calculation:
ΔE_f = -61.1 kJ per mole of atoms
SG = No. 174

=====

9.
Below is an optimized crystal structure of Tb3Au4, with properties calculated at the PBE level.

```
7
Lattice="2.4987 1.4426 8.2568 -2.4987 1.4426 8.2568 0.0000 -2.8852 8.2568" Properties=species:S:1:pos:R:3 pbc="T T T"
Tb 0.0000 0.0000 0.0000
Tb 0.0000 0.0000 5.9535
Tb 0.0000 0.0000 18.8170
Au 0.0000 0.0000 2.9634
Au 0.0000 0.0000 9.0554
Au 0.0000 0.0000 15.7151
Au 0.0000 0.0000 21.8071
```

Values from the calculation:
ΔE_f = -68.1 kJ per mole of atoms
SG = No. 166

=====

10.
Below is an optimized crystal structure of TbAu4, with properties calculated at the PBE level.

```
5
Lattice="5.4215 0.0000 0.0000 0.0000 5.4215 0.0000 0.0000 0.0000 5.4215" Properties=species:S:1:pos:R:3 pbc="T T T"
Tb 0.0000 0.0000 0.0000
Au 0.0000 0.0000 2.7108
Au 0.0000 2.7108 0.0000
Au 2.7108 0.0000 0.0000
Au 2.7108 2.7108 2.7108
```

Values from the calculation:
ΔE_f = 62.3 kJ per mole of atoms
SG = No. 221

=====

11.
Below is an optimized crystal structure of TbAu2, with properties calculated at the PBE level.

```
6
Lattice="0.0000 4.0133 4.0133 4.0133 0.0000 4.0133 4.0133 4.0133 0.0000" Properties=species:S:1:pos:R:3 pbc="T T T"
Tb 1.0033 1.0033 1.0033
Tb 7.0232 7.0232 7.0232
Au 4.0133 2.0066 2.0066
Au 2.0066 4.0133 2.0066
Au 2.0066 2.0066 4.0133
Au 4.0133 4.0133 4.0133
```

Values from the calculation:
ΔE_f = -51.2 kJ per mole of atoms
SG = No. 227

=====

12.
Below is an optimized crystal structure of TbAu2, with properties calculated at the PBE level.

```
3
Lattice="-1.8817 1.8817 4.5509 1.8817 -1.8817 4.5509 1.8817 1.8817 -4.5509" Properties=species:S:1:pos:R:3 pbc="T T T"
Tb 0.0000 0.0000 0.0000
Au 0.0000 0.0000 3.0510
Au 0.0000 0.0000 6.0508
```

Values from the calculation:
ΔE_f = -82.6 kJ per mole of atoms
SG = No. 139

=====

Question: ΔE_f of number 8 (Tb14Au51)?
Answer: -61.1 kJ per mole of atoms